Version one
Entry from the Alexandria database: a crystal of LiOs2Pt relaxed with PBEsol (meta-GGA SCAN).

abc: 4.2612 4.2612 4.2612
angles: 60.00 60.00 60.00
Last column: magnetic moment on the atom in μB.
Atoms (fractional coordinates):
Os  0.7500  0.7500  0.7500  0.04
Os  0.0000  0.0000  0.0000  0.61
Pt  0.2500  0.2500  0.2500  0.24
Li  0.5000  0.5000  0.5000  0.00

Properties
**N(E_F)**: 2.33 states/eV/cell

***

Version two
Entry from the Alexandria database: a crystal of LiOs2Pt relaxed with PBEsol (meta-GGA SCAN).

abc: 2.6734 4.5625 4.7232
angles: 97.18 106.44 90.00
Atoms (fractional coordinates):
Os  0.7589  0.7445  0.5178
Os  0.2411  0.2555  0.4822
Li  0.0000  0.5000  0.0000
Pt  0.5000  0.0000  0.0000

Properties
**N(E_F)**: 2.34 states/eV/cell

***

Version three
Entry from the Alexandria database: a crystal of LiOs2Pt relaxed with PBEsol (meta-GGA SCAN).

abc: 2.6607 4.5970 4.7624
angles: 97.51 90.00 106.82
Atoms (fractional coordinates):
Os  0.2460  0.4920  0.7889
Os  0.9915  0.9831  0.9710
Pt  0.5075  0.0151  0.4616
Li  0.7549  0.5099  0.2784

Properties
**N(E_F)**: 2.68 states/eV/cell

***

Energy ordering: version two at the bottom, the next structure 0.010 eV/atom above.

***

Version one
Entry from the Alexandria database: a crystal of LiReOs2 relaxed with PBEsol (meta-GGA SCAN).

abc: 2.8986 4.3197 4.3197
angles: 90.00 90.00 90.00
Atoms (fractional coordinates):
Os  0.0000  0.0000  0.5000
Os  0.0000  0.5000  0.0000
Li  0.5000  0.0000  0.0000
Re  0.5000  0.5000  0.5000

Properties
**N(E_F)**: 2.84 states/eV/cell

***

Version two
Entry from the Alexandria database: a crystal of LiReOs2 relaxed with PBEsol (meta-GGA SCAN).

abc: 2.8458 4.3831 4.9774
angles: 116.12 106.61 90.00
Atoms (fractional coordinates):
Re  0.5000  0.0000  0.0000
Os  0.2589  0.2589  0.5178
Os  0.7411  0.7411  0.4822
Li  0.0000  0.5000  0.0000

Properties
**N(E_F)**: 2.80 states/eV/cell

***

Energy ordering: version one at the bottom, the next structure 0.006 eV/atom above.

***

Version one
Entry from the Alexandria database: a crystal of Li2OsRh relaxed with PBEsol (meta-GGA SCAN).

abc: 4.1428 4.1428 4.1428
angles: 60.00 60.00 60.00
Atoms (fractional coordinates):
Os  0.5000  0.5000  0.5000
Li  0.2500  0.2500  0.2500
Li  0.0000  0.0000  0.0000
Rh  0.7500  0.7500  0.7500

Properties
**N(E_F)**: 3.10 states/eV/cell

***

Version two
Entry from the Alexandria database: a crystal of Li2OsRh relaxed with PBEsol (meta-GGA SCAN).

abc: 2.5117 4.4015 4.4015
angles: 90.00 90.00 90.00
Last column: magnetic moment on the atom in μB.
Atoms (fractional coordinates):
Li  0.0000  0.5000  0.0000  -0.01
Li  0.0000  0.0000  0.5000  -0.01
Rh  0.5000  0.0000  0.0000  0.68
Os  0.5000  0.5000  0.5000  0.12

Properties
**N(E_F)**: 2.78 states/eV/cell

***

Version three
Entry from the Alexandria database: a crystal of Li2OsRh relaxed with PBEsol (meta-GGA SCAN).

abc: 2.5060 2.5060 8.5046
angles: 90.00 90.00 90.00
Atoms (fractional coordinates):
Os  0.5000  0.5000  0.0000
Rh  0.5000  0.5000  0.5000
Li  0.0000  0.0000  0.7450
Li  0.0000  0.0000  0.2550

Properties
**N(E_F)**: 3.58 states/eV/cell

***

Energy ordering: version one at the bottom, the next structure 0.079 eV/atom above.